*1*
A plane-wave DFT calculation with GGA-PBE was carried out for Nd7Ho3Er after structural relaxation.

Computed properties:
**Symmetry**: C2/m, No. 12
**Total magnetization**: 0.00 μB per formula unit

Cell: 8.567 8.567 5.908 Å, 110.09 110.09 83.25°
Sites, in units of the cell vectors:
Nd 0.000 0.000 0.000
Nd 0.097 0.519 0.308
Nd 0.291 0.291 0.793
Nd 0.481 0.903 0.692
Nd 0.519 0.097 0.308
Nd 0.709 0.709 0.207
Nd 0.903 0.481 0.692
Ho 0.295 0.705 0.000
Ho 0.500 0.500 0.500
Ho 0.705 0.295 0.000
Er 0.000 0.000 0.500

*2*
A plane-wave DFT calculation with GGA-PBE was carried out for Nd7Ho3Er after structural relaxation.

Computed properties:
**Symmetry**: C2/c, No. 15
**Total magnetization**: 0.00 μB per formula unit

Cell: 10.299 10.299 12.624 Å, 114.69 114.69 40.84°
Sites, in units of the cell vectors:
Nd 0.080 0.588 0.975
Nd 0.081 0.584 0.472
Nd 0.211 0.789 0.750
Nd 0.337 0.346 0.227
Nd 0.346 0.337 0.727
Nd 0.412 0.920 0.525
Nd 0.416 0.919 0.028
Nd 0.584 0.081 0.972
Nd 0.588 0.080 0.475
Nd 0.654 0.663 0.273
Nd 0.663 0.654 0.773
Nd 0.789 0.211 0.250
Nd 0.919 0.416 0.528
Nd 0.920 0.412 0.025
Ho 0.168 0.173 0.274
Ho 0.173 0.168 0.774
Ho 0.500 0.500 0.000
Ho 0.500 0.500 0.500
Ho 0.827 0.832 0.226
Ho 0.832 0.827 0.726
Er 0.000 0.000 0.000
Er 0.000 0.000 0.500

Which one is most stable, and which one is least stable? *2* is the most stable of them, while *1* is the least stable.

*1*
A plane-wave DFT calculation with GGA-PBE was carried out for Nd2HoEr3 after structural relaxation.

Computed properties:
**Symmetry**: C2/m, No. 12
**Total magnetization**: 0.00 μB per formula unit

Cell: 8.795 8.795 9.765 Å, 120.52 120.52 37.50°
Sites, in units of the cell vectors:
Nd 0.107 0.107 0.058
Nd 0.354 0.354 0.347
Nd 0.646 0.646 0.653
Nd 0.893 0.893 0.942
Ho 0.047 0.047 0.684
Ho 0.953 0.953 0.316
Er 0.192 0.192 0.494
Er 0.286 0.286 0.935
Er 0.451 0.451 0.784
Er 0.549 0.549 0.216
Er 0.714 0.714 0.065
Er 0.808 0.808 0.506

*2*
A plane-wave DFT calculation with GGA-PBE was carried out for Nd2HoEr3 after structural relaxation.

Computed properties:
**Symmetry**: C2/m, No. 12
**Total magnetization**: 0.00 μB per formula unit

Cell: 8.951 8.951 10.013 Å, 122.89 122.89 36.17°
Sites, in units of the cell vectors:
Nd 0.009 0.009 0.358
Nd 0.270 0.270 0.628
Nd 0.730 0.730 0.372
Nd 0.991 0.991 0.642
Ho 0.367 0.367 0.362
Ho 0.633 0.633 0.638
Er 0.113 0.113 0.154
Er 0.209 0.209 0.925
Er 0.451 0.451 0.106
Er 0.549 0.549 0.894
Er 0.791 0.791 0.075
Er 0.887 0.887 0.846

Which one is most stable, and which one is least stable? *2* is the most stable of them, while *1* is the least stable.

*1*
A plane-wave DFT calculation with GGA-PBE was carried out for NdHoEr5 after structural relaxation.

Computed properties:
**Symmetry**: C2/c, No. 15
**Total magnetization**: 0.00 μB per formula unit

Cell: 6.706 6.706 12.112 Å, 106.65 106.65 60.44°
Sites, in units of the cell vectors:
Nd 0.000 0.500 0.000
Nd 0.500 0.000 0.500
Ho 0.028 0.972 0.750
Ho 0.972 0.028 0.250
Er 0.135 0.421 0.748
Er 0.198 0.650 0.501
Er 0.350 0.802 0.999
Er 0.418 0.582 0.250
Er 0.421 0.135 0.248
Er 0.579 0.865 0.752
Er 0.582 0.418 0.750
Er 0.650 0.198 0.001
Er 0.802 0.350 0.499
Er 0.865 0.579 0.252

*2*
A plane-wave DFT calculation with GGA-PBE was carried out for NdHoEr5 after structural relaxation.

Computed properties:
**Symmetry**: Imm2, No. 44
**Total magnetization**: 0.00 μB per formula unit

Cell: 7.702 7.702 7.702 Å, 117.61 81.60 133.05°
Sites, in units of the cell vectors:
Nd 0.000 0.000 0.000
Ho 0.241 0.741 0.500
Er 0.472 0.472 0.000
Er 0.488 0.732 0.756
Er 0.737 0.058 0.321
Er 0.737 0.417 0.679
Er 0.976 0.732 0.244

Which one is most stable, and which one is least stable? *1* is the most stable of them, while *2* is the least stable.